Computed, not measured: a relaxed structure of La2Pb at the GGA-PBEsol level of DFT.

Values from the calculation:
- energy relative to the elements (eV/atom) = -0.49
- space-group type = P-62m (189)
- crystal system = hexagonal

a b c (Å): 8.7823 8.7823 4.3978
angles (deg): 90.00 90.00 120.00
Element x y z (fractional)
La: 0.0000 0.4088 0.0000
La: 0.0000 0.7281 0.5000
La: 0.2719 0.2719 0.5000
La: 0.4088 0.0000 0.0000
La: 0.5912 0.5912 0.0000
La: 0.7281 0.0000 0.5000
Pb: 0.0000 0.0000 0.0000
Pb: 0.3333 0.6667 0.5000
Pb: 0.6667 0.3333 0.5000